Computed, not measured: an optimized crystal structure of ErTlSn2Br8 at the PBE-GGA level of DFT.

Values from the calculation:
M_tot in μB/f.u.: 0.00
Formation energy without anion corrections in eV/atom: -1.125
Theoretical density in g/cm³: 4.57
V in A^3/atom: 37.81

Cell: 6.8036 7.2621 9.2039 Å, 86.88 88.43 88.23°
Space group P-1 (No. 2)
One atom of each set of equivalent atoms:
Er 0.0000 0.0000 0.0000 x1
Tl 0.0000 0.0000 0.5000 x1
Sn 0.4905 0.4859 0.7501 x2
Br 0.2324 0.3162 0.9779 x2
Br 0.2322 0.8356 0.7869 x2
Br 0.2495 0.8551 0.2172 x2
Br 0.2723 0.3663 0.5278 x2


Computed, not measured: an optimized crystal structure of SrErBr6 at the PBE-GGA level of DFT.

Values from the calculation:
M_tot in μB/f.u.: 1.03
Formation energy without anion corrections in eV/atom: -1.587
Theoretical density in g/cm³: 4.10
V in A^3/atom: 37.15

Cell: 7.2387 7.3108 7.3407 Å, 66.48 63.18 61.94°
Space group P-1 (No. 2)
One atom of each set of equivalent atoms:
Sr 0.0000 0.0000 0.0000 x1
Er 0.5000 0.5000 0.5000 x1
Br 0.0839 0.7361 0.7165 x2
Br 0.3095 0.5580 0.2089 x2
Br 0.4054 0.1295 0.7231 x2


Computed, not measured: an optimized crystal structure of Er2TaBr at the PBE-GGA level of DFT.

Values from the calculation:
M_tot in μB/f.u.: 0.68
Formation energy without anion corrections in eV/atom: 0.189
Theoretical density in g/cm³: 10.02
V in A^3/atom: 24.66

Cell: 3.2686 3.2686 31.9877 Å, 90.00 90.00 120.00°
Space group R-3m (No. 166, hexagonal axes)
One atom of each set of equivalent atoms:
Er 0.0000 0.0000 0.0918 x6
Ta 0.0000 0.0000 0.0000 x3
Br 0.0000 0.0000 0.5000 x3


Computed, not measured: an optimized crystal structure of TbErBr2 at the PBE-GGA level of DFT.

Values from the calculation:
M_tot in μB/f.u.: 0.01
Formation energy without anion corrections in eV/atom: -0.980
Theoretical density in g/cm³: 7.01
V in A^3/atom: 28.79

Cell: 3.6524 3.6524 29.9059 Å, 90.00 90.00 120.00°
Space group R-3m (No. 166, hexagonal axes)
One atom of each set of equivalent atoms:
Tb 0.0000 0.0000 0.0000 x3
Er 0.0000 0.0000 0.5000 x3
Br 0.0000 0.0000 0.4041 x6